one) Entry from Alexandria: a relaxed structure of NiBiIO2 (GGA+U).

Lattice parameters (Å, degrees): 4.2033 4.2033 6.9095 90.00 90.00 90.00
Positions (direct):
O 0.0000 0.5000 0.0000
O 0.5000 0.0000 0.0000
I 0.0000 0.0000 0.5000
Ni 0.5000 0.5000 0.5000
Bi 0.0000 0.0000 0.0000

Calculated values
Calculated volume   24.415 A^3/atom
D(E_F)   0.61 states/eV/f.u.

---

two) Entry from Alexandria: a relaxed structure of NiBiIO2 (GGA+U).

Lattice parameters (Å, degrees): 4.2744 4.2744 4.9422 90.00 90.00 90.00
Positions (direct):
I 0.0000 0.0000 0.5000
Bi 0.5000 0.5000 0.5000
O 0.5000 0.0000 0.0000
O 0.0000 0.5000 0.0000
Ni 0.0000 0.0000 0.0000

Calculated values
Calculated volume   18.060 A^3/atom
D(E_F)   2.34 states/eV/f.u.

---

Most favorable first, least favorable last: one), two)